DFT (PBE) results for CaNd4Ho3 after structural relaxation.

Output
* uncorrected energy: -4.31 eV per atom
* magnetic moment: 0.000 μB/atom
* DFT formation energy: 43.3 meV per atom

Structure (CIF):
```
data_CaNd4Ho3
_chemical_formula_sum 'Ca2 Nd8 Ho6'
_symmetry_space_group_name_H-M 'P m n a'
_symmetry_Int_Tables_number 53
_cell_length_a 7.256
_cell_length_b 7.280
_cell_length_c 10.241
_cell_angle_alpha 90.00
_cell_angle_beta 90.00
_cell_angle_gamma 90.00
loop_
_symmetry_equiv_pos_as_xyz
'x,y,z'
'-x,-y,-z'
'-x+1/2,-y,z+1/2'
'x+1/2,y,-z+1/2'
'x,-y,-z'
'-x,y,z'
'-x+1/2,y,-z+1/2'
'x+1/2,-y,z+1/2'
loop_
_atom_site_label
_atom_site_fract_x
_atom_site_fract_y
_atom_site_fract_z
_atom_site_occupancy
Ca1 0.000 0.000 0.000 1
Nd1 0.000 0.000 0.500 1
Nd2 0.000 0.500 0.500 1
Nd3 0.250 0.256 0.250 1
Ho1 0.000 0.500 0.000 1
Ho2 0.250 0.259 0.750 1
```

=====

DFT (PBE) results for CaNd6Ho12 after structural relaxation.

Output
* uncorrected energy: -4.05 eV per atom
* magnetic moment: 0.000 μB/atom
* DFT formation energy: 449.7 meV per atom

Structure (CIF):
```
data_CaNd6Ho12
_chemical_formula_sum 'Ca3 Nd18 Ho36'
_symmetry_space_group_name_H-M 'R -3 m'
_symmetry_Int_Tables_number 166
_symmetry_space_group_name_Hall '-R 3 2"'
_cell_length_a 14.9485
_cell_length_b 14.9485
_cell_length_c 10.6172
_cell_angle_alpha 90.00
_cell_angle_beta 90.00
_cell_angle_gamma 120.00
loop_
_atom_site_label
_atom_site_fract_x
_atom_site_fract_y
_atom_site_fract_z
_atom_site_occupancy
Ca1 0.0000 0.0000 0.0000 1
Nd1 0.0732 0.5366 0.2228 1
Ho1 0.0000 0.3875 0.5000 1
Ho2 0.0798 0.1596 0.2557 1
```

=====

DFT (PBE) results for CaNd15Ho4 after structural relaxation.

Output
* uncorrected energy: -4.57 eV per atom
* magnetic moment: 0.000 μB/atom
* DFT formation energy: 21.6 meV per atom

Structure (CIF):
```
data_CaNd15Ho4
_chemical_formula_sum 'Ca1 Nd15 Ho4'
_symmetry_space_group_name_H-M 'P 4/m m m'
_symmetry_Int_Tables_number 123
_symmetry_space_group_name_Hall '-P 4 2'
_cell_length_a 5.179
_cell_length_b 5.179
_cell_length_c 25.777
_cell_angle_alpha 90.00
_cell_angle_beta 90.00
_cell_angle_gamma 90.00
loop_
_atom_site_label
_atom_site_fract_x
_atom_site_fract_y
_atom_site_fract_z
_atom_site_occupancy
Ca1 0.000 0.000 0.000 1
Nd1 0.000 0.500 0.104 1
Nd2 0.000 0.500 0.301 1
Nd3 0.000 0.500 0.500 1
Nd4 0.500 0.500 0.000 1
Nd5 0.500 0.500 0.201 1
Nd6 0.500 0.500 0.400 1
Ho1 0.000 0.000 0.201 1
Ho2 0.000 0.000 0.401 1
```

=====

Repeat the third record exactly.
DFT (PBE) results for CaNd15Ho4 after structural relaxation.

Output
* uncorrected energy: -4.57 eV per atom
* magnetic moment: 0.000 μB/atom
* DFT formation energy: 21.6 meV per atom

Structure (CIF):
```
data_CaNd15Ho4
_chemical_formula_sum 'Ca1 Nd15 Ho4'
_symmetry_space_group_name_H-M 'P 4/m m m'
_symmetry_Int_Tables_number 123
_symmetry_space_group_name_Hall '-P 4 2'
_cell_length_a 5.179
_cell_length_b 5.179
_cell_length_c 25.777
_cell_angle_alpha 90.00
_cell_angle_beta 90.00
_cell_angle_gamma 90.00
loop_
_atom_site_label
_atom_site_fract_x
_atom_site_fract_y
_atom_site_fract_z
_atom_site_occupancy
Ca1 0.000 0.000 0.000 1
Nd1 0.000 0.500 0.104 1
Nd2 0.000 0.500 0.301 1
Nd3 0.000 0.500 0.500 1
Nd4 0.500 0.500 0.000 1
Nd5 0.500 0.500 0.201 1
Nd6 0.500 0.500 0.400 1
Ho1 0.000 0.000 0.201 1
Ho2 0.000 0.000 0.401 1
```